Record 1
TbTm2Se: relaxed, PBE-GGA.

## Properties
- Formation energy without anion corrections: -508 meV/atom
- Total moment: 0.15 μB per atom
- Energy above the most stable polymorph in this dataset: 0.280 eV per atom
- E_tot: -4.772 eV/atom
- D(E_F): 5.09 states/eV/cell

Cell lengths 3.647, 3.647, 10.550 Å; angles 80.05, 80.05, 60.00 degrees
Site moments in Bohr magnetons follow the coordinates.
Sites, in units of the cell vectors:
Tb 0.000 0.000 0.000  0.29
Tm 0.108 0.108 0.675  0.06
Tm 0.892 0.892 0.325  0.06
Se 0.500 0.500 0.500  0.00

---

Record 2
H6PbCI3N: relaxed, PBE-GGA.

## Properties
- Total moment: 0.00 μB per atom
- Energy above the most stable polymorph in this dataset: 0.008 eV per atom
- E_tot: -4.250 eV/atom
- D(E_F): 0.00 states/eV/cell

Cell lengths 6.391, 6.530, 6.524 Å; angles 91.20, 90.00, 90.00 degrees
Sites, in units of the cell vectors:
H 0.132 0.787 0.987
N 0.000 0.864 0.041
Pb 0.500 0.524 0.481
H 0.141 0.157 0.040
I 0.500 0.581 0.976
H 0.859 0.157 0.040
H 0.868 0.787 0.987
I 0.000 0.588 0.515
I 0.500 0.059 0.439
C 0.000 0.083 0.978
H 0.000 0.849 0.200
H 0.000 0.087 0.811

---

Record 3
Re2SiAu: relaxed, PBE-GGA.

## Properties
- Formation energy without anion corrections: 611 meV/atom
- Total moment: 0.00 μB per atom
- E_tot: -7.789 eV/atom
- D(E_F): 4.63 states/eV/cell

Cell lengths 4.428, 4.428, 4.428 Å; angles 60.00, 60.00, 60.00 degrees
Sites, in units of the cell vectors:
Si 0.750 0.750 0.750
Re 0.000 0.000 0.000
Au 0.500 0.500 0.500
Re 0.250 0.250 0.250

---

Record 4
MoAs2W: relaxed, PBE-GGA.

## Properties
- Total moment: 0.00 μB per atom
- Energy relative to the elements: 0.4718 eV/atom
- Energy above the most stable polymorph in this dataset: 0.495 eV per atom
- E_tot: -7.799 eV/atom
- D(E_F): 3.62 states/eV/cell

Cell lengths 5.051, 5.051, 5.051 Å; angles 143.37, 119.46, 72.88 degrees
Sites, in units of the cell vectors:
W 0.250 0.750 0.500
As 0.001 0.001 0.000
Mo 0.750 0.250 0.500
As 0.499 0.499 0.000

---

Record 5
ZnH2Ru2: relaxed, PBE-GGA.

## Properties
- Total moment: 0.00 μB per atom
- Energy above the most stable polymorph in this dataset: 0.189 eV per atom
- E_tot: -5.000 eV/atom
- D(E_F): 7.70 states/eV/cell

Cell lengths 5.639, 5.639, 3.126 Å; angles 90.00, 90.00, 90.00 degrees
Sites, in units of the cell vectors:
Zn 0.000 0.000 0.000
H 0.262 0.762 0.000
Ru 0.840 0.340 0.500
H 0.762 0.738 0.000
H 0.738 0.238 0.000
H 0.238 0.262 0.000
Ru 0.340 0.160 0.500
Zn 0.500 0.500 0.000
Ru 0.160 0.660 0.500
Ru 0.660 0.840 0.500

---

Record 6
Pr3Mg2Ga9: relaxed, PBE-GGA.

## Properties
- Total moment: 0.00 μB per atom
- Energy relative to the elements: -0.5015 eV/atom
- E_tot: -3.699 eV/atom
- D(E_F): 4.32 states/eV/cell

Cell lengths 4.305, 8.660, 8.660 Å; angles 72.29, 75.61, 75.61 degrees
Sites, in units of the cell vectors:
Ga 0.335 0.037 0.293
Ga 0.145 0.129 0.582
Pr 0.687 0.313 0.313
Ga 0.855 0.418 0.871
Ga 0.335 0.293 0.037
Ga 0.855 0.871 0.418
Mg 0.500 0.711 0.289
Mg 0.500 0.289 0.711
Ga 0.145 0.582 0.129
Ga 0.665 0.707 0.963
Pr 0.000 0.000 0.000
Ga 0.665 0.963 0.707
Ga 0.000 0.500 0.500
Pr 0.313 0.687 0.687

---

Record 7
Y4Bi2S9: relaxed, PBE-GGA.

## Properties
- Formation energy without anion corrections: -1484 meV/atom
- Total moment: 0.00 μB per atom
- E_tot: -6.202 eV/atom
- D(E_F): 0.00 states/eV/cell

Cell lengths 6.996, 6.996, 18.655 Å; angles 90.00, 90.00, 60.00 degrees
Sites, in units of the cell vectors:
Y 0.333 0.333 0.184
S 0.031 0.623 0.584
S 0.654 0.377 0.916
Bi 0.000 0.000 0.648
S 0.346 0.031 0.584
S 0.307 0.694 0.750
S 0.623 0.031 0.084
S 0.623 0.346 0.584
S 0.654 0.969 0.416
Bi 0.000 0.000 0.148
S 0.377 0.969 0.916
Y 0.667 0.667 0.017
Y 0.333 0.333 0.983
S 0.346 0.623 0.084
S 0.000 0.306 0.750
Y 0.666 0.667 0.316
Y 0.333 0.333 0.483
Y 0.667 0.667 0.517
S 0.693 0.306 0.250
Y 0.667 0.667 0.816
S 0.377 0.654 0.416
S 0.031 0.346 0.084
S 0.969 0.654 0.916
S 0.000 0.694 0.250
S 0.306 0.000 0.250
Bi 0.000 0.000 0.852
Y 0.334 0.333 0.684
Bi 0.000 0.000 0.352
S 0.694 0.000 0.750
S 0.969 0.377 0.416

---

Record 8
PuPO4F: relaxed, PBE-GGA.

## Properties
- Formation energy without anion corrections: -2726 meV/atom
- Total moment: 0.57 μB per atom
- E_tot: -8.647 eV/atom
- D(E_F): 14.70 states/eV/cell

Cell lengths 5.706, 5.706, 6.585 Å; angles 77.53, 77.53, 75.22 degrees
Site moments in Bohr magnetons follow the coordinates.
Sites, in units of the cell vectors:
O 0.475 0.475 0.752  -0.04
O 0.130 0.480 0.153  -0.05
O 0.525 0.525 0.248  -0.04
F 0.021 0.021 0.177  -0.03
F 0.979 0.979 0.823  -0.03
O 0.480 0.130 0.153  -0.05
O 0.870 0.520 0.847  -0.05
P 0.648 0.648 0.728  0.01
Pu 0.218 0.218 0.853  4.17
O 0.520 0.870 0.847  -0.05
O 0.739 0.739 0.495  -0.05
O 0.261 0.261 0.505  -0.05
Pu 0.782 0.782 0.147  4.17
P 0.352 0.352 0.272  0.01

---

Record 9
Sr2LaMo: relaxed, PBE-GGA.

## Properties
- Total moment: 0.63 μB per atom
- Energy relative to the elements: 0.9225 eV/atom
- Energy above the most stable polymorph in this dataset: 0.402 eV per atom
- E_tot: -3.858 eV/atom
- D(E_F): 5.31 states/eV/cell

Cell lengths 6.396, 6.396, 3.705 Å; angles 90.00, 90.00, 116.40 degrees
Site moments in Bohr magnetons follow the coordinates.
Sites, in units of the cell vectors:
Sr 0.500 0.500 0.000  -0.02
Sr 0.000 0.000 0.000  -0.02
La 0.500 0.000 0.500  -0.11
Mo 0.000 0.500 0.500  2.39

---

Record 10
La4DyY7: relaxed, PBE-GGA.

## Properties
- Total moment: 0.00 μB per atom
- Energy relative to the elements: 0.0158 eV/atom
- Energy above the most stable polymorph in this dataset: 0.000 eV per atom
- E_tot: -5.781 eV/atom
- D(E_F): 17.50 states/eV/cell

Cell lengths 3.633, 3.633, 35.331 Å; angles 90.00, 90.00, 120.00 degrees
Sites, in units of the cell vectors:
Y 0.667 0.333 0.581
Y 0.333 0.667 0.169
La 0.333 0.667 0.665
Dy 0.000 0.000 0.500
Y 0.000 0.000 0.250
La 0.667 0.333 0.335
La 0.667 0.333 0.084
Y 0.000 0.000 0.750
Y 0.667 0.333 0.831
La 0.333 0.667 0.916
Y 0.333 0.667 0.419
Y 0.000 0.000 0.000

---

Record 11
HoTlIr4: relaxed, PBE-GGA.

## Properties
- Total moment: 0.00 μB per atom
- Energy relative to the elements: -0.2326 eV/atom
- E_tot: -7.297 eV/atom
- D(E_F): 8.49 states/eV/cell

Cell lengths 5.341, 5.341, 5.341 Å; angles 60.00, 60.00, 60.00 degrees
Sites, in units of the cell vectors:
Ir 0.625 0.625 0.124
Ho 0.250 0.250 0.250
Ir 0.625 0.625 0.625
Ir 0.625 0.124 0.625
Ir 0.124 0.625 0.625
Tl 0.000 0.000 0.000

---

Record 12
Ac2CuRh2: relaxed, PBE-GGA.

## Properties
- Total moment: 0.00 μB per atom
- Energy relative to the elements: -0.5030 eV/atom
- E_tot: -5.906 eV/atom
- D(E_F): 4.15 states/eV/cell

Cell lengths 5.720, 5.955, 8.129 Å; angles 103.39, 90.00, 118.70 degrees
Sites, in units of the cell vectors:
Rh 0.995 0.258 0.011
Ac 0.504 0.294 0.151
Rh 0.737 0.742 0.489
Ac 0.210 0.706 0.349
Rh 0.005 0.742 0.989
Rh 0.263 0.258 0.511
Ac 0.790 0.294 0.651
Ac 0.496 0.706 0.849
Cu 0.140 0.000 0.750
Cu 0.860 0.000 0.250

---

Record 13
KY3Br: relaxed, PBE-GGA.

## Properties
- Formation energy without anion corrections: 108 meV/atom
- Total moment: 0.00 μB per atom
- Energy above the most stable polymorph in this dataset: 0.000 eV per atom
- E_tot: -4.324 eV/atom
- D(E_F): 6.98 states/eV/cell

Cell lengths 5.612, 5.612, 5.612 Å; angles 90.00, 90.00, 90.00 degrees
Sites, in units of the cell vectors:
K 0.500 0.500 0.500
Y 0.500 0.000 0.000
Br 0.000 0.000 0.000
Y 0.000 0.500 0.000
Y 0.000 0.000 0.500

---

Record 14
GdLuHgGe: relaxed, PBE-GGA.

## Properties
- Total moment: 1.87 μB per atom
- Energy relative to the elements: -0.5350 eV/atom
- E_tot: -6.415 eV/atom
- D(E_F): 3.16 states/eV/cell

Cell lengths 5.136, 5.136, 5.136 Å; angles 60.00, 60.00, 60.00 degrees
Site moments in Bohr magnetons follow the coordinates.
Sites, in units of the cell vectors:
Hg 0.750 0.750 0.750  -0.01
Gd 0.500 0.500 0.500  -7.10
Ge 0.250 0.250 0.250  0.04
Lu 0.000 0.000 0.000  -0.15

---

Record 15
PmPuBi: relaxed, PBE-GGA.

## Properties
- Total moment: 2.44 μB per atom
- Energy relative to the elements: -0.1345 eV/atom
- Energy above the most stable polymorph in this dataset: 0.174 eV per atom
- E_tot: -7.789 eV/atom
- D(E_F): 12.86 states/eV/cell

Cell lengths 5.326, 5.326, 5.326 Å; angles 60.00, 60.00, 60.00 degrees
Site moments in Bohr magnetons follow the coordinates.
Sites, in units of the cell vectors:
Pu 0.000 0.000 0.000  5.79
Pm 0.500 0.500 0.500  0.49
Bi 0.250 0.250 0.250  -0.07

---

Record 16
PuHf2Co: relaxed, PBE-GGA.

## Properties
- Total moment: 1.16 μB per atom
- Energy relative to the elements: -0.1034 eV/atom
- Energy above the most stable polymorph in this dataset: 0.000 eV per atom
- E_tot: -10.440 eV/atom
- D(E_F): 5.82 states/eV/cell

Cell lengths 3.175, 3.175, 7.659 Å; angles 90.00, 90.00, 90.00 degrees
Site moments in Bohr magnetons follow the coordinates.
Sites, in units of the cell vectors:
Hf 0.000 0.000 0.796  0.03
Co 0.500 0.500 0.000  -0.64
Pu 0.500 0.500 0.500  5.00
Hf 0.000 0.000 0.204  0.03

---

Record 17
CrIn3Ag: relaxed, PBE-GGA.

## Properties
- Total moment: 0.63 μB per atom
- Energy relative to the elements: 0.5592 eV/atom
- Energy above the most stable polymorph in this dataset: 0.000 eV per atom
- E_tot: -3.579 eV/atom
- D(E_F): 3.46 states/eV/cell

Cell lengths 5.180, 5.180, 5.180 Å; angles 90.00, 90.00, 90.00 degrees
Site moments in Bohr magnetons follow the coordinates.
Sites, in units of the cell vectors:
In 0.000 0.000 0.500  0.03
Ag 0.500 0.500 0.500  0.04
In 0.500 0.000 0.000  -0.04
In 0.000 0.500 0.000  0.00
Cr 0.000 0.000 0.000  2.91

---

Record 18
Pm4Nd5Sm3: relaxed, PBE-GGA.

## Properties
- Total moment: 0.00 μB per atom
- Energy relative to the elements: 0.2011 eV/atom
- Energy above the most stable polymorph in this dataset: 0.189 eV per atom
- E_tot: -4.549 eV/atom
- D(E_F): 19.99 states/eV/cell

Cell lengths 6.064, 8.759, 9.889 Å; angles 106.19, 72.15, 69.75 degrees
Sites, in units of the cell vectors:
Sm 0.518 0.690 0.274
Nd 0.500 0.500 0.500
Pm 0.141 0.777 0.941
Pm 0.859 0.223 0.059
Nd 0.216 0.457 0.112
Pm 0.836 0.950 0.378
Nd 0.625 0.949 0.800
Pm 0.164 0.050 0.622
Sm 0.000 0.500 0.500
Sm 0.482 0.310 0.726
Nd 0.784 0.543 0.888
Nd 0.375 0.051 0.200

---

Record 19
LaSiCl: relaxed, PBE-GGA.

## Properties
- Formation energy without anion corrections: -465 meV/atom
- Total moment: 0.00 μB per atom
- E_tot: -4.531 eV/atom
- D(E_F): 4.32 states/eV/cell

Cell lengths 4.775, 4.775, 4.775 Å; angles 60.00, 60.00, 60.00 degrees
Sites, in units of the cell vectors:
La 0.000 0.000 0.000
Cl 0.750 0.750 0.750
Si 0.500 0.500 0.500

---

Record 20
Sr2MgMn: relaxed, PBE-GGA.

## Properties
- Total moment: 0.99 μB per atom
- Energy relative to the elements: 0.2964 eV/atom
- E_tot: -3.236 eV/atom
- D(E_F): 3.92 states/eV/cell

Cell lengths 4.027, 4.027, 8.191 Å; angles 90.00, 90.00, 89.99 degrees
Site moments in Bohr magnetons follow the coordinates.
Sites, in units of the cell vectors:
Sr 0.000 0.000 0.982  -0.04
Sr 0.000 0.000 0.518  -0.04
Mg 0.500 0.500 0.250  0.00
Mn 0.500 0.500 0.750  3.98

---

Record 21
CeGa5: relaxed, PBE-GGA.

## Properties
- Total moment: 0.12 μB per atom
- Energy relative to the elements: -0.2325 eV/atom
- Energy above the most stable polymorph in this dataset: 0.104 eV per atom
- E_tot: -3.744 eV/atom
- D(E_F): 6.20 states/eV/cell

Cell lengths 4.264, 5.691, 5.691 Å; angles 120.00, 90.00, 90.00 degrees
Site moments in Bohr magnetons follow the coordinates.
Sites, in units of the cell vectors:
Ga 0.500 0.667 0.333  0.00
Ga 0.500 0.333 0.667  0.00
Ga 0.000 0.428 0.000  -0.01
Ga 0.000 0.572 0.572  -0.01
Ce 0.500 0.000 0.000  0.63
Ga 0.000 0.000 0.428  -0.01

---

Record 22
K2Sb2Se5: relaxed, PBE-GGA.

## Properties
- Formation energy without anion corrections: -514 meV/atom
- Total moment: 0.00 μB per atom
- Energy above the most stable polymorph in this dataset: 0.062 eV per atom
- E_tot: -3.609 eV/atom

Cell lengths 5.805, 7.954, 7.679 Å; angles 108.49, 90.00, 111.40 degrees
Sites, in units of the cell vectors:
Se 0.000 0.000 0.000
K 0.388 0.776 0.684
Sb 0.851 0.701 0.136
Se 0.857 0.714 0.463
Se 0.331 0.662 0.078
Se 0.143 0.286 0.537
Sb 0.149 0.299 0.864
Se 0.669 0.338 0.922
K 0.612 0.224 0.316

---

Record 23
SrAlB2Cl: relaxed, PBE-GGA.

## Properties
- Formation energy without anion corrections: 1608 meV/atom
- Total moment: 0.37 μB per atom
- E_tot: -2.517 eV/atom
- D(E_F): 5.86 states/eV/cell

Cell lengths 5.330, 5.488, 5.330 Å; angles 90.00, 90.00, 90.00 degrees
Site moments in Bohr magnetons follow the coordinates.
Sites, in units of the cell vectors:
Al 0.500 0.500 0.500  0.02
B 0.000 0.000 0.500  0.24
Cl 0.000 0.500 0.000  0.03
B 0.500 0.000 0.000  0.34
Sr 0.000 0.000 0.000  0.11

---

Record 24
Tc2P2Pb: relaxed, PBE-GGA.

## Properties
- Total moment: 0.00 μB per atom
- Energy relative to the elements: -0.0944 eV/atom
- E_tot: -7.146 eV/atom
- D(E_F): 1.99 states/eV/cell

Cell lengths 3.730, 3.730, 6.544 Å; angles 73.44, 73.44, 90.00 degrees
Sites, in units of the cell vectors:
P 0.750 0.250 0.500
Pb 0.000 0.000 0.000
Tc 0.627 0.627 0.745
P 0.250 0.750 0.500
Tc 0.373 0.373 0.255

---

Record 25
AlTcBr: relaxed, PBE-GGA.

## Properties
- Formation energy without anion corrections: 757 meV/atom
- Total moment: 0.29 μB per atom
- Energy above the most stable polymorph in this dataset: 0.500 eV per atom
- E_tot: -4.504 eV/atom
- D(E_F): 4.54 states/eV/cell

Cell lengths 4.371, 4.371, 4.371 Å; angles 60.00, 60.00, 60.00 degrees
Site moments in Bohr magnetons follow the coordinates.
Sites, in units of the cell vectors:
Br 0.500 0.500 0.500  0.01
Tc 0.250 0.250 0.250  0.74
Al 0.000 0.000 0.000  -0.01